(1)
NaNdYSn: relaxed, PBE.

Lattice parameters (Å, degrees): 5.417 5.417 5.417 60.00 60.00 60.00
Atoms (fractional coordinates):
Nd 0.500 0.500 0.500
Na 0.750 0.750 0.750
Sn 0.250 0.250 0.250
Y 0.000 0.000 0.000

Summary:
- total magnetization (μB per atom) = 0.026
- energy (eV for the cell shown) = -17.8
- density of states at the Fermi level (states/eV/cell) = 3.45
- crystal system = cubic

(2)
PmGdGaOs: relaxed, PBE.

Lattice parameters (Å, degrees): 5.018 5.018 5.018 60.00 60.00 60.00
Atoms (fractional coordinates):
Pm 0.500 0.500 0.500
Os 0.250 0.250 0.250
Ga 0.750 0.750 0.750
Gd 0.000 0.000 0.000

Summary:
- total magnetization (μB per atom) = 1.744
- energy (eV for the cell shown) = -34.1
- density of states at the Fermi level (states/eV/cell) = 2.62
- crystal system = cubic

(3)
MoAsAu: relaxed, PBE.

Lattice parameters (Å, degrees): 4.380 4.380 4.380 60.00 60.00 60.00
Atoms (fractional coordinates):
As 0.000 0.000 0.000
Au 0.500 0.500 0.500
Mo 0.750 0.750 0.750

Summary:
- total magnetization (μB per atom) = 0.415
- density of states at the Fermi level (states/eV/cell) = 1.54
- E above lowest polymorph (meV per atom) = 185
- crystal system = cubic